Record 1
A geometry-optimized Sm8Er structure, computed with PBE.

a b c (Å): 5.108 8.082 8.082
angles (deg): 84.27 71.58 71.58
Atoms (fractional coordinates):
Sm: 0.333 0.667 0.667
Sm: 0.666 0.000 0.668
Sm: 0.334 0.000 0.332
Sm: 0.000 0.667 0.333
Sm: 0.667 0.333 0.333
Sm: 0.334 0.332 0.000
Sm: 0.666 0.668 0.000
Sm: 0.000 0.333 0.667
Er: 0.000 0.000 0.000

Record 2
A geometry-optimized Sm7Er5 structure, computed with PBE.

a b c (Å): 5.712 5.613 14.752
angles (deg): 101.34 90.00 120.58
Atoms (fractional coordinates):
Sm: 0.500 0.000 0.500
Sm: 0.313 0.626 0.916
Sm: 0.234 0.468 0.671
Sm: 0.052 0.104 0.213
Sm: 0.948 0.896 0.787
Sm: 0.687 0.374 0.084
Sm: 0.766 0.532 0.329
Er: 0.616 0.232 0.801
Er: 0.000 0.000 0.000
Er: 0.384 0.768 0.199
Er: 0.144 0.288 0.441
Er: 0.856 0.712 0.559

Results
Distance to the lowest polymorph of the same formula   0.168 eV per atom

Record 3
A geometry-optimized Sm4Er3 structure, computed with PBE.

a b c (Å): 5.057 8.005 6.180
angles (deg): 97.39 114.15 90.00
Atoms (fractional coordinates):
Sm: 0.857 0.573 0.715
Sm: 0.714 0.141 0.429
Sm: 0.286 0.859 0.571
Sm: 0.143 0.427 0.285
Er: 0.571 0.714 0.142
Er: 0.000 0.000 0.000
Er: 0.429 0.286 0.858

Record 4
A geometry-optimized SmEr structure, computed with PBE.

a b c (Å): 3.537 5.568 6.778
angles (deg): 90.00 105.08 90.00
Atoms (fractional coordinates):
Er: 0.823 0.750 0.144
Er: 0.177 0.250 0.856
Sm: 0.437 0.250 0.374
Sm: 0.563 0.750 0.626

Results
Distance to the lowest polymorph of the same formula   0.038 eV per atom

In order of appearance, energy of formation from the pure elements = 0.015, 0.175, 0.017, 0.054 eV per atom.